No. 1
# CuRuSeN2

Crystalline CuRuSeN2 at its relaxed geometry (PBE, Alexandria).

Cell lengths 3.7326, 3.7326, 5.5228 Å; angles 90.00, 90.00, 90.00 degrees
Closest atoms and distances in Å follow each position.
Fractional coordinates of all 5 atoms:
1 Cu 0.0000 0.0000 0.0000  4 Se 2.64
2 Ru 0.5000 0.5000 0.5000  4 N 1.87
3 Se 0.5000 0.5000 0.0000  4 Cu 2.64, 2 Ru 2.76
4 N 0.0000 0.5000 0.5000  2 Ru 1.87
5 N 0.5000 0.0000 0.5000  2 Ru 1.87

Calculated values
For the raw formation energy, the calculation gives 769 meV per atom. The calculation puts the relative energy among the computed polymorphs at 0.00 eV/f.u. Its space group is P4/mmm (123).

No. 2
# CuRuSeN2

Crystalline CuRuSeN2 at its relaxed geometry (PBE, Alexandria).

Cell lengths 3.6908, 3.6908, 4.9602 Å; angles 90.00, 90.00, 90.00 degrees
Closest atoms and distances in Å follow each position.
Fractional coordinates of all 5 atoms:
1 Cu 0.0000 0.0000 0.0000  4 N 1.85
2 Ru 0.5000 0.5000 0.5000  4 Se 2.61
3 Se 0.0000 0.0000 0.5000  2 Cu 2.48, 4 Ru 2.61
4 N 0.0000 0.5000 0.0000  2 Cu 1.85
5 N 0.5000 0.0000 0.0000  2 Cu 1.85

Calculated values
For the raw formation energy, the calculation gives 1783 meV per atom. The calculation puts the relative energy among the computed polymorphs at 5.07 eV/f.u. Its space group is P4/mmm (123).

No. 3
# Sr2CuRuN

Crystalline Sr2CuRuN at its relaxed geometry (PBE, Alexandria).

Cell lengths 5.3937, 5.3937, 3.7969 Å; angles 90.00, 90.00, 90.00 degrees
Closest atoms and distances in Å follow each position.
Fractional coordinates of all 5 atoms:
1 Sr 0.0000 0.5000 0.0000  2 N 2.70
2 Sr 0.5000 0.0000 0.0000  2 N 2.70
3 Cu 0.0000 0.0000 0.5000  8 Sr 3.30
4 Ru 0.5000 0.5000 0.5000  2 N 1.90
5 N 0.5000 0.5000 0.0000  2 Ru 1.90

Calculated values
For the raw formation energy, the calculation gives -257 meV per atom. Its space group is P4/mmm (123).

No. 4
# CuTcRuN2

Crystalline CuTcRuN2 at its relaxed geometry (PBE, Alexandria).

Cell lengths 3.7766, 3.7766, 4.9467 Å; angles 90.00, 90.00, 90.00 degrees
Closest atoms and distances in Å follow each position.
Fractional coordinates of all 5 atoms:
1 Cu 0.0000 0.0000 0.0000  2 Ru 2.47, 4 Tc 2.67
2 Tc 0.5000 0.5000 0.0000  4 Cu 2.67
3 Ru 0.0000 0.0000 0.5000  4 N 1.89
4 N 0.0000 0.5000 0.5000  2 Ru 1.89
5 N 0.5000 0.0000 0.5000  2 Ru 1.89

Calculated values
For the raw formation energy, the calculation gives 1397 meV per atom. Its space group is P4/mmm (123).

No. 5
# CuTeRuN2

Crystalline CuTeRuN2 at its relaxed geometry (PBE, Alexandria).

Cell lengths 3.7778, 3.7778, 5.8062 Å; angles 90.00, 90.00, 90.00 degrees
Closest atoms and distances in Å follow each position.
Fractional coordinates of all 5 atoms:
1 Cu 0.0000 0.0000 0.0000  4 Te 2.67
2 Te 0.5000 0.5000 0.0000  4 Cu 2.67, 2 Ru 2.90
3 Ru 0.5000 0.5000 0.5000  4 N 1.89
4 N 0.0000 0.5000 0.5000  2 Ru 1.89
5 N 0.5000 0.0000 0.5000  2 Ru 1.89

Calculated values
For the raw formation energy, the calculation gives 756 meV per atom. The calculation puts the relative energy among the computed polymorphs at 0.00 eV/f.u. Its space group is P4/mmm (123).

No. 6
# CuTeRuN2

Crystalline CuTeRuN2 at its relaxed geometry (PBE, Alexandria).

Cell lengths 3.7514, 3.7514, 5.7008 Å; angles 90.00, 90.00, 90.00 degrees
Closest atoms and distances in Å follow each position.
Fractional coordinates of all 5 atoms:
1 Cu 0.0000 0.0000 0.0000  4 N 1.88
2 Te 0.0000 0.0000 0.5000  4 Ru 2.65, 2 Cu 2.85
3 Ru 0.5000 0.5000 0.5000  4 Te 2.65
4 N 0.0000 0.5000 0.0000  2 Cu 1.88
5 N 0.5000 0.0000 0.0000  2 Cu 1.88

Calculated values
For the raw formation energy, the calculation gives 1764 meV per atom. The calculation puts the relative energy among the computed polymorphs at 5.04 eV/f.u. Its space group is P4/mmm (123).

No. 7
# TiCu2RuN

Crystalline TiCu2RuN at its relaxed geometry (PBE, Alexandria).

Cell lengths 4.6287, 4.6287, 3.6770 Å; angles 90.00, 90.00, 90.00 degrees
Closest atoms and distances in Å follow each position.
Fractional coordinates of all 5 atoms:
1 Ti 0.0000 0.0000 0.0000  2 N 1.84
2 Cu 0.0000 0.5000 0.0000  2 Ti 2.31
3 Cu 0.5000 0.0000 0.0000  2 Ti 2.31
4 Ru 0.5000 0.5000 0.5000  8 Cu 2.96, 4 N 3.27
5 N 0.0000 0.0000 0.5000  2 Ti 1.84

Calculated values
For the raw formation energy, the calculation gives 1103 meV per atom. The calculation puts the relative energy among the computed polymorphs at 5.66 eV/f.u. Its space group is P4/mmm (123).

No. 8
# TiCu2RuN

Crystalline TiCu2RuN at its relaxed geometry (PBE, Alexandria).

Cell lengths 3.8573, 3.8573, 4.0855 Å; angles 90.00, 90.00, 90.00 degrees
Closest atoms and distances in Å follow each position.
Fractional coordinates of all 5 atoms:
1 Ti 0.0000 0.0000 0.0000  2 N 2.04
2 Cu 0.0000 0.5000 0.5000  2 N 1.93
3 Cu 0.5000 0.0000 0.5000  2 N 1.93
4 Ru 0.5000 0.5000 0.0000  4 Ti 2.73, 8 Cu 2.81
5 N 0.0000 0.0000 0.5000  4 Cu 1.93, 2 Ti 2.04

Calculated values
For the raw formation energy, the calculation gives -30 meV per atom. The calculation puts the relative energy among the computed polymorphs at 0.00 eV/f.u. Its space group is P4/mmm (123).

No. 9
# CuRuW2N

Crystalline CuRuW2N at its relaxed geometry (PBE, Alexandria).

Cell lengths 4.6371, 4.6371, 4.5386 Å; angles 90.00, 90.00, 90.00 degrees
Closest atoms and distances in Å follow each position.
Fractional coordinates of all 5 atoms:
1 Cu 0.0000 0.0000 0.0000  2 Ru 2.27
2 Ru 0.0000 0.0000 0.5000  2 Cu 2.27, 4 W 2.32
3 W 0.0000 0.5000 0.5000  2 Ru 2.32
4 W 0.5000 0.0000 0.5000  2 Ru 2.32
5 N 0.5000 0.5000 0.0000  8 W 3.24, 4 Cu 3.28

Calculated values
For the raw formation energy, the calculation gives 2757 meV per atom. Its space group is P4/mmm (123).

No. 10
# Zn2CuRuN

Crystalline Zn2CuRuN at its relaxed geometry (PBE, Alexandria).

Cell lengths 4.1894, 4.1894, 3.8160 Å; angles 90.00, 90.00, 90.00 degrees
Closest atoms and distances in Å follow each position.
Fractional coordinates of all 5 atoms:
1 Zn 0.0000 0.5000 0.0000  2 N 2.09
2 Zn 0.5000 0.0000 0.0000  2 N 2.09
3 Cu 0.0000 0.0000 0.5000  8 Zn 2.83, 4 Ru 2.96
4 Ru 0.5000 0.5000 0.5000  2 N 1.91
5 N 0.5000 0.5000 0.0000  2 Ru 1.91, 4 Zn 2.09

Calculated values
For the raw formation energy, the calculation gives 374 meV per atom. Its space group is P4/mmm (123).

No. 11
# ZrCuRuN2

Crystalline ZrCuRuN2 at its relaxed geometry (PBE, Alexandria).

Cell lengths 3.7851, 3.7851, 4.7162 Å; angles 90.00, 90.00, 90.00 degrees
Closest atoms and distances in Å follow each position.
Fractional coordinates of all 5 atoms:
1 Zr 0.0000 0.0000 0.0000  4 Ru 2.68
2 Cu 0.5000 0.5000 0.5000  4 N 1.89
3 Ru 0.5000 0.5000 0.0000  2 Cu 2.36
4 N 0.0000 0.5000 0.5000  2 Cu 1.89
5 N 0.5000 0.0000 0.5000  2 Cu 1.89

Calculated values
For the raw formation energy, the calculation gives 1280 meV per atom. Its space group is P4/mmm (123).

No. 12
# Cu7S4N

Crystalline Cu7S4N at its relaxed geometry (PBE, Alexandria).

Cell lengths 3.7517, 6.8917, 8.4648 Å; angles 70.28, 86.69, 76.88 degrees
Closest atoms and distances in Å follow each position.
Fractional coordinates of all 12 atoms:
1 Cu 0.0000 0.0000 0.0000  1 N 1.91
2 Cu 0.0251 0.5390 0.2299  1 N 2.01
3 Cu 0.3115 0.5078 0.7399  3 S 2.19-2.28
4 Cu 0.4060 0.8082 0.2662  2 N 1.90-1.91
5 Cu 0.4826 0.8363 0.8082  4 S 2.27-2.40
6 Cu 0.5257 0.2296 0.5878  2 S 2.17-2.19
7 Cu 0.7939 0.9796 0.4034  1 N 2.03
8 S 0.0363 0.6581 0.9309  4 Cu 2.27-2.38
9 S 0.3336 0.8159 0.5492  5 Cu 2.21-2.41
10 S 0.4409 0.1637 0.8570  5 Cu 2.19-2.40
11 S 0.5978 0.3371 0.3184  4 Cu 2.17-2.29
12 N 0.8995 0.8406 0.2244  5 Cu 1.90-2.03

Calculated values
For the raw formation energy, the calculation gives 47 meV per atom. Its space group is P1 (1).